# PBE-GGA TaCoRh2Au, optimized geometry
data_TaCoRh2Au
_chemical_formula_sum 'Ta1 Co1 Rh2 Au1'
_symmetry_space_group_name_H-M 'P 4/m m m'
_symmetry_Int_Tables_number 123
_symmetry_space_group_name_Hall '-P 4 2'
_cell_length_a 4.3974
_cell_length_b 4.3974
_cell_length_c 4.6251
_cell_angle_alpha 90.00
_cell_angle_beta 90.00
_cell_angle_gamma 90.00
loop_
_atom_site_label
_atom_site_type_symbol
_atom_site_fract_x
_atom_site_fract_y
_atom_site_fract_z
Ta1 Ta 0.0000 0.0000 0.0000
Co1 Co 0.5000 0.5000 0.5000
Rh1 Rh 0.0000 0.5000 0.5000
Au1 Au 0.5000 0.5000 0.0000
# - Size of the total moment: 1.46 μB per formula unit
# - E_tot: -6.326 eV per atom
# - Formation enthalpy at 0 K: 1061.6 meV/atom
# - D(E_F): 1.342 states/eV/atom